VASP calculation (PBE) on an optimized crystal structure of Dy4ErTm2.

Cell and atoms, written as CIF:
```
data_Dy4ErTm2
_chemical_formula_sum 'Dy4 Er1 Tm2'
_symmetry_space_group_name_H-M 'P 1'
_symmetry_Int_Tables_number 1
_symmetry_space_group_name_Hall 'P 1'
_cell_length_a 3.546
_cell_length_b 3.546
_cell_length_c 19.788
_cell_angle_alpha 90.00
_cell_angle_beta 90.00
_cell_angle_gamma 120.00
loop_
_atom_site_label
_atom_site_type_symbol
_atom_site_fract_x
_atom_site_fract_y
_atom_site_fract_z
_atom_site_occupancy
Dy1 Dy 0.382 0.764 0.809 1
Dy2 Dy 0.047 0.095 0.238 1
Dy3 Dy 0.381 0.761 0.523 1
Dy4 Dy 0.049 0.097 0.954 1
Tm1 Tm 0.715 0.429 0.097 1
Tm2 Tm 0.713 0.427 0.381 1
Er1 Er 0.715 0.429 0.666 1
```

Computed properties:
- energy of formation (eV/atom) = 0.007
- polymorph energy (0 for the lowest one) (meV per atom) = 0
- DOS(E_F) (states/eV/atom) = 1.427

VASP calculation (PBE) on an optimized crystal structure of NpV2Os.

Cell and atoms, written as CIF:
```
data_NpV2Os
_chemical_formula_sum 'Np1 V2 Os1'
_symmetry_space_group_name_H-M 'P 1'
_symmetry_Int_Tables_number 1
_symmetry_space_group_name_Hall 'P 1'
_cell_length_a 2.874
_cell_length_b 2.874
_cell_length_c 7.485
_cell_angle_alpha 90.00
_cell_angle_beta 90.00
_cell_angle_gamma 90.00
loop_
_atom_site_label
_atom_site_type_symbol
_atom_site_fract_x
_atom_site_fract_y
_atom_site_fract_z
_atom_site_occupancy
V1 V 0.000 0.000 0.215 1
V2 V 0.000 0.000 0.785 1
Os1 Os 0.500 0.500 0.000 1
Np1 Np 0.500 0.500 0.500 1
```

Computed properties:
- energy of formation (eV/atom) = 0.057
- polymorph energy (0 for the lowest one) (meV per atom) = 0
- DOS(E_F) (states/eV/atom) = 1.475

VASP calculation (PBE) on an optimized crystal structure of Er4Tm4Tl.

Cell and atoms, written as CIF:
```
data_Er4Tm4Tl
_chemical_formula_sum 'Er4 Tm4 Tl1'
_symmetry_space_group_name_H-M 'P 1'
_symmetry_Int_Tables_number 1
_symmetry_space_group_name_Hall 'P 1'
_cell_length_a 4.836
_cell_length_b 7.790
_cell_length_c 7.790
_cell_angle_alpha 84.47
_cell_angle_beta 71.92
_cell_angle_gamma 71.92
loop_
_atom_site_label
_atom_site_type_symbol
_atom_site_fract_x
_atom_site_fract_y
_atom_site_fract_z
_atom_site_occupancy
Tm1 Tm 0.000 0.336 0.664 1
Tm2 Tm 0.336 0.664 0.664 1
Tm3 Tm 0.664 0.336 0.336 1
Tm4 Tm 0.000 0.664 0.336 1
Er1 Er 0.663 0.000 0.674 1
Er2 Er 0.663 0.674 0.000 1
Er3 Er 0.337 0.000 0.326 1
Er4 Er 0.337 0.326 0.000 1
Tl1 Tl 0.000 0.000 0.000 1
```

Computed properties:
- energy of formation (eV/atom) = -0.037
- DOS(E_F) (states/eV/atom) = 1.554